(1)
Compound: MnSnPb3
Source: Alexandria
Functional: GGA-PBEsol
Structure: optimized geometry

abc: 5.157 5.157 5.157
angles: 90.00 90.00 90.00
Space group Pm-3m (No. 221)
Symmetry-distinct sites (fractional):
Mn 0.000 0.000 0.000
Sn 0.500 0.500 0.500
Pb 0.000 0.000 0.500

* raw total energy: -24.12 eV per formula unit
* energy relative to the elements: 380 meV per atom



(2)
Compound: ScGeSb2Te
Source: Alexandria
Functional: GGA-PBEsol
Structure: optimized geometry

abc: 5.171 5.171 5.366
angles: 90.00 90.00 90.00
Space group P4/mmm (No. 123)
Symmetry-distinct sites (fractional):
Sc 0.000 0.000 0.000
Ge 0.500 0.500 0.500
Sb 0.000 0.500 0.500
Te 0.500 0.500 0.000

* formation energy (no corrections): 36.1 kJ/mol of atoms
* raw total energy: -22.32 eV per formula unit
* E above lowest polymorph: 37 meV per atom



(3)
Compound: K2LaBr
Source: Alexandria
Functional: GGA-PBEsol
Structure: optimized geometry

abc: 4.096 6.654 12.426
angles: 90.00 90.00 90.00
Space group Cmm2 (No. 35)
Symmetry-distinct sites (fractional):
K 0.000 0.000 0.000
K 0.000 0.500 0.326
La 0.000 0.000 0.617
Br 0.000 0.500 0.804

* formation energy (no corrections): -46.1 kJ/mol of atoms
* raw total energy: -11.40 eV per formula unit
* E above lowest polymorph: 70 meV per atom



(4)
Compound: Ce6MnSb15
Source: Alexandria
Functional: GGA-PBEsol
Structure: optimized geometry

abc: 4.292 19.017 14.726
angles: 90.00 90.00 90.00
Space group Imm2 (No. 44)
Symmetry-distinct sites (fractional):
Ce 0.000 0.131 0.000
Ce 0.000 0.131 0.282
Ce 0.000 0.322 0.139
Mn 0.000 0.000 0.858
Sb 0.000 0.000 0.146
Sb 0.000 0.107 0.500
Sb 0.000 0.118 0.777
Sb 0.000 0.295 0.358
Sb 0.000 0.300 0.926
Sb 0.000 0.303 0.641
Sb 0.000 0.500 0.043
Sb 0.000 0.500 0.240
Sb 0.000 0.500 0.473
Sb 0.000 0.500 0.799

* formation energy (no corrections): -56.8 kJ/mol of atoms
* raw total energy: -130.65 eV per formula unit



(5)
Compound: ZrIn2Pt
Source: Alexandria
Functional: GGA-PBEsol
Structure: optimized geometry

abc: 5.844 8.990 2.993
angles: 90.00 90.00 90.00
Space group Cmmm (No. 65)
Symmetry-distinct sites (fractional):
Zr 0.000 0.000 0.000
In 0.250 0.250 0.500
Pt 0.000 0.500 0.000

* raw total energy: -23.06 eV per formula unit
* energy relative to the elements: -261 meV per atom



(6)
Compound: FeNi
Source: Alexandria
Functional: GGA-PBEsol
Structure: optimized geometry

abc: 2.441 4.057 4.350
angles: 90.00 90.00 90.00
Space group Pmmn (No. 59, origin choice 2)
Symmetry-distinct sites (fractional):
Fe 0.250 0.250 0.099
Ni 0.250 0.750 0.410

* raw total energy: -15.04 eV per formula unit
* energy relative to the elements: 41 meV per atom



no.,volume (Å³ per cell)
1,137.18
2,143.49
3,338.65
4,1201.99
5,157.25
6,43.08